[1]
First-principles (PBE-GGA) data for a relaxed structure of AgBrCl2, as listed in Alexandria via LeMat-Bulk.

## Properties
Density of states at the Fermi level   5.75 states/eV per cell
Polymorph energy (0 for the lowest one)   470 meV/atom
Formation energy (no corrections)   0.25 eV per atom

a = 3.435 Å, b = 3.435 Å, c = 8.110 Å
α = 90.00°, β = 90.00°, γ = 90.00°
Fractional coordinates of all 4 atoms:
Ag 0.000 0.000 0.000
Br 0.500 0.500 0.231
Cl 0.000 0.000 0.478
Cl 0.500 0.500 0.834

[2]
First-principles (PBE-GGA) data for a relaxed structure of AgBrCl3, as listed in Alexandria via LeMat-Bulk.

## Properties
Density of states at the Fermi level   10.26 states/eV per cell
Polymorph energy (0 for the lowest one)   0 meV/atom
Formation energy (no corrections)   -0.18 eV per atom

a = 8.997 Å, b = 6.943 Å, c = 9.619 Å
α = 90.00°, β = 96.87°, γ = 90.00°
Fractional coordinates of all 20 atoms:
Ag 0.074 0.243 0.420
Ag 0.074 0.257 0.920
Ag 0.926 0.743 0.080
Ag 0.926 0.757 0.580
Br 0.432 0.694 0.575
Br 0.432 0.806 0.075
Br 0.568 0.194 0.925
Br 0.568 0.306 0.425
Cl 0.044 0.068 0.668
Cl 0.044 0.432 0.168
Cl 0.179 0.552 0.532
Cl 0.179 0.948 0.032
Cl 0.348 0.137 0.373
Cl 0.348 0.363 0.873
Cl 0.652 0.637 0.127
Cl 0.652 0.863 0.627
Cl 0.821 0.052 0.968
Cl 0.821 0.448 0.468
Cl 0.956 0.568 0.832
Cl 0.956 0.932 0.332

[3]
First-principles (PBE-GGA) data for a relaxed structure of Ag2Br3Cl6, as listed in Alexandria via LeMat-Bulk.

## Properties
Density of states at the Fermi level   10.10 states/eV per cell
Formation energy (no corrections)   -0.19 eV per atom

a = 7.039 Å, b = 7.039 Å, c = 15.531 Å
α = 101.49°, β = 101.49°, γ = 66.58°
Fractional coordinates of all 22 atoms:
Ag 0.170 0.676 0.998
Ag 0.324 0.830 0.502
Ag 0.676 0.170 0.498
Ag 0.830 0.324 0.002
Br 0.105 0.895 0.750
Br 0.222 0.459 0.253
Br 0.459 0.222 0.753
Br 0.541 0.778 0.247
Br 0.778 0.541 0.747
Br 0.895 0.105 0.250
Cl 0.046 0.848 0.590
Cl 0.151 0.416 0.092
Cl 0.152 0.954 0.910
Cl 0.288 0.489 0.410
Cl 0.416 0.151 0.592
Cl 0.489 0.288 0.910
Cl 0.511 0.712 0.090
Cl 0.584 0.849 0.408
Cl 0.712 0.511 0.590
Cl 0.848 0.046 0.090
Cl 0.849 0.584 0.908
Cl 0.954 0.152 0.410

[4]
First-principles (PBE-GGA) data for a relaxed structure of Ag5BrCl5, as listed in Alexandria via LeMat-Bulk.

## Properties
Density of states at the Fermi level   4.93 states/eV per cell
Formation energy (no corrections)   -0.39 eV per atom

a = 6.687 Å, b = 6.687 Å, c = 8.009 Å
α = 100.99°, β = 100.99°, γ = 48.03°
Fractional coordinates of all 11 atoms:
Ag 0.000 0.000 0.000
Ag 0.332 0.332 0.651
Ag 0.337 0.337 0.189
Ag 0.663 0.663 0.811
Ag 0.668 0.668 0.349
Br 0.500 0.500 0.000
Cl 0.167 0.167 0.333
Cl 0.174 0.174 0.838
Cl 0.500 0.500 0.500
Cl 0.826 0.826 0.162
Cl 0.833 0.833 0.667

[5]
First-principles (PBE-GGA) data for a relaxed structure of AgBr2Cl2, as listed in Alexandria via LeMat-Bulk.

## Properties
Density of states at the Fermi level   5.79 states/eV per cell
Polymorph energy (0 for the lowest one)   24 meV/atom
Formation energy (no corrections)   -0.09 eV per atom

a = 4.026 Å, b = 4.026 Å, c = 11.233 Å
α = 100.36°, β = 100.36°, γ = 63.53°
Fractional coordinates of all 5 atoms:
Ag 0.000 0.000 0.000
Br 0.359 0.359 0.137
Br 0.641 0.641 0.863
Cl 0.452 0.452 0.407
Cl 0.548 0.548 0.593

[6]
First-principles (PBE-GGA) data for a relaxed structure of AgBr2Cl, as listed in Alexandria via LeMat-Bulk.

## Properties
Density of states at the Fermi level   1.46 states/eV per cell
Polymorph energy (0 for the lowest one)   203 meV/atom
Formation energy (no corrections)   0.02 eV per atom

a = 8.360 Å, b = 8.360 Å, c = 8.360 Å
α = 152.96°, β = 152.96°, γ = 38.61°
Fractional coordinates of all 4 atoms:
Ag 0.000 0.000 0.000
Br 0.250 0.750 0.500
Br 0.500 0.500 0.000
Cl 0.750 0.250 0.500